Material: Pu3Ga
Method: DFT, PBE
State: relaxed

- Symmetry: Imm2, No. 44
- Raw total energy: -11.266 eV per atom
- DFT formation energy: 0.239 eV per atom
- Distance to the lowest polymorph of the same formula: 306.9 meV/atom
- Density of states at the Fermi level: 1.5462 states/eV per atom
- Crystal system: orthorhombic

a b c (Å): 5.912 5.912 5.912
angles (deg): 156.95 63.48 121.75
Sites, in units of the cell vectors:
Pu (0.000, 0.000, 0.000)
Pu (0.506, 0.741, 0.765)
Pu (0.977, 0.741, 0.235)
Ga (0.495, 0.995, 0.500)